Below is an optimized crystal structure of AcTm2Hg6, with properties calculated at the GGA-PBE level.

Total magnetization = 0.0 μB per cell
Energy relative to the elements = -3.300 eV per formula unit
VASP energy = -2.02 eV/atom

Cell: 15.247 8.455 3.803 Å, 90.00 104.16 90.00°
Space group C2/m (No. 12)
One atom of each set of equivalent atoms:
Ac 0.000 0.000 0.000 x2
Tm 0.142 0.500 0.139 x4
Hg 0.000 0.331 0.500 x4
Hg 0.178 0.180 0.677 x8